Entry 1:
UGa2PbO8 after structural relaxation. Source: the Alexandria database, functional PBE.

abc: 6.6915 6.7897 6.5938
angles: 90.00 90.00 90.00
Last column: nearest neighbours and their distance in Å.
Space group Cmmm (No. 65)
Inequivalent atoms, fractional coordinates:
U 0.0000 0.0000 0.0000  6 O 2.06-2.12
Ga 0.0000 0.5000 0.2574  6 O 1.97-2.13
Pb 0.0000 0.0000 0.5000  6 O 2.12-2.25
O 0.0000 0.2101 0.2369  1 Ga 1.97, 1 U 2.12
O 0.1837 0.5000 0.5000  2 Ga 2.02, 1 Pb 2.12
O 0.1926 0.5000 0.0000  1 U 2.06, 2 Ga 2.13

The calculation puts the uncorrected formation energy at -1900 meV/atom.

***

Entry 2:
PaTiAs2 after structural relaxation. Source: the Alexandria database, functional PBE.

abc: 3.9492 3.9492 18.3985
angles: 90.00 90.00 120.00
Last column: nearest neighbours and their distance in Å.
Space group R-3m (No. 166, hexagonal axes)
Inequivalent atoms, fractional coordinates:
Pa 0.0000 0.0000 0.0000  6 As 2.86
Ti 0.0000 0.0000 0.5000  6 As 2.65
As 0.0000 0.0000 0.2397  3 Ti 2.65, 3 Pa 2.86

The formation energy comes out at -0.95 eV/atom.

***

Entry 3:
TaCu2PbC after structural relaxation. Source: the Alexandria database, functional PBE.

abc: 4.7747 4.7747 4.3044
angles: 90.00 90.00 90.00
Last column: nearest neighbours and their distance in Å.
Space group P4/mmm (No. 123)
Inequivalent atoms, fractional coordinates:
Ta 0.0000 0.0000 0.0000  8 Cu 3.21, 4 C 3.38
Cu 0.0000 0.5000 0.5000  2 Pb 2.39
Pb 0.5000 0.5000 0.5000  2 C 2.15, 4 Cu 2.39
C 0.5000 0.5000 0.0000  2 Pb 2.15

The formation energy comes out at 2.32 eV/atom.